Density functional theory data (PBE) for crystalline CrSb3 at its relaxed geometry.

Cell: 4.6298 4.6298 4.6298 Å, 90.00 90.00 90.00°
Closest atoms and distances in Å follow each position.
Space group Pm-3m (No. 221)
Unique sites:
Cr1 0.0000 0.0000 0.0000  12 Sb 3.27
Sb1 0.0000 0.5000 0.5000  4 Cr 3.27, 8 Sb 3.27

Values from the calculation:
- total magnetization (μB/atom) = 1.035
- E above lowest polymorph (meV/atom) = 256
- formation energy (no corrections) (eV/atom) = 0.424
- E_tot (Ry/atom) = -0.373